First-principles (PBE-GGA) data for a relaxed structure of Ni3Mo2Pt4, as listed in Alexandria.

Calculated values
Total magnetization in μB/atom: 0.000
Volume in Å³/f.u.: 126.4
DOS(E_F) in states/eV/f.u.: 5.6
ΔE_f in eV/atom: -0.26

Unit cell a=3.8217 b=4.7447 c=8.0303 alpha=73.31 beta=76.23 gamma=66.25
Last column: nearest neighbours and their distance in Å.
Positions (direct):
Ni 0.3272 0.7904 0.5552  3 Mo 2.59-2.61, 6 Pt 2.60-2.80, 3 Ni 2.65-2.84
Ni 0.0000 0.0000 0.0000  8 Pt 2.68-2.75, 4 Mo 2.76
Ni 0.6728 0.2096 0.4448  3 Mo 2.59-2.61, 6 Pt 2.60-2.80, 3 Ni 2.65-2.84
Mo 0.3267 0.1124 0.2342  5 Ni 2.59-2.76, 7 Pt 2.67-2.77
Mo 0.6733 0.8876 0.7658  5 Ni 2.59-2.76, 7 Pt 2.67-2.77
Pt 0.6642 0.5614 0.1102  4 Pt 2.70-2.72, 4 Ni 2.70-2.75, 4 Mo 2.75-2.77
Pt 0.0097 0.3161 0.6645  6 Ni 2.60-2.80, 3 Mo 2.67-2.76, 3 Pt 2.72
Pt 0.9903 0.6839 0.3355  6 Ni 2.60-2.80, 3 Mo 2.67-2.76, 3 Pt 2.72
Pt 0.3358 0.4386 0.8898  4 Pt 2.70-2.72, 4 Ni 2.70-2.75, 4 Mo 2.75-2.77

=====

First-principles (PBE-GGA) data for a relaxed structure of Ni3MoPt7, as listed in Alexandria.

Calculated values
Total magnetization in μB/atom: 0.000
Volume in Å³/f.u.: 172.5
DOS(E_F) in states/eV/f.u.: 12.0
ΔE_f in eV/atom: 0.17

Unit cell a=4.7193 b=6.5253 c=6.5253 alpha=89.72 beta=111.33 gamma=111.33
Last column: nearest neighbours and their distance in Å.
Positions (direct):
Ni 0.0000 0.7681 0.2319  9 Pt 2.47-2.72
Ni 0.5000 0.0000 0.0000  8 Pt 2.58-2.76
Ni 0.0000 0.2319 0.7681  9 Pt 2.47-2.72
Mo 0.5000 0.5000 0.5000  4 Pt 2.36-2.61
Pt 0.1808 0.1710 0.1710  4 Ni 2.53-2.76, 1 Mo 2.61, 3 Pt 2.72
Pt 0.3309 0.0699 0.5918  4 Ni 2.58-2.72, 4 Pt 2.69-2.72, 1 Mo 2.75
Pt 0.6691 0.4082 0.9301  4 Ni 2.58-2.72, 4 Pt 2.69-2.72, 1 Mo 2.75
Pt 0.3309 0.5918 0.0699  4 Ni 2.58-2.72, 4 Pt 2.69-2.72, 1 Mo 2.75
Pt 0.0000 0.5000 0.5000  2 Mo 2.36, 2 Ni 2.47
Pt 0.6691 0.9301 0.4082  4 Ni 2.58-2.72, 4 Pt 2.69-2.72, 1 Mo 2.75
Pt 0.8192 0.8290 0.8290  4 Ni 2.53-2.76, 1 Mo 2.61, 3 Pt 2.72

=====

First-principles (PBE-GGA) data for a relaxed structure of Ni2MoPt, as listed in Alexandria.

Calculated values
Total magnetization in μB/atom: 0.000
Volume in Å³/f.u.: 53.3
DOS(E_F) in states/eV/f.u.: 3.9
ΔE_f in eV/atom: -0.11

Unit cell a=3.6958 b=2.6944 c=5.9899 alpha=63.25 beta=90.00 gamma=90.00
Last column: nearest neighbours and their distance in Å.
Positions (direct):
Ni 0.0000 0.0102 0.9892  4 Ni 2.56-2.79, 4 Mo 2.62, 4 Pt 2.68
Ni 0.0000 0.4898 0.5108  4 Ni 2.56-2.79, 4 Mo 2.62, 4 Pt 2.68
Mo 0.5000 0.7500 0.7500  8 Ni 2.62, 2 Pt 2.67, 2 Mo 2.69
Pt 0.5000 0.2500 0.2500  2 Mo 2.67, 8 Ni 2.68, 2 Pt 2.69

=====

First-principles (PBE-GGA) data for a relaxed structure of Ni2MoPt, as listed in Alexandria.

Calculated values
Total magnetization in μB/atom: 0.366
Volume in Å³/f.u.: 53.4
DOS(E_F) in states/eV/f.u.: 5.0
ΔE_f in eV/atom: -0.03

Unit cell a=3.8308 b=3.8296 c=3.6370 alpha=90.00 beta=90.00 gamma=90.00
Last column: nearest neighbours and their distance in Å.
Positions (direct):
Mo 0.0000 0.5000 0.5000  8 Ni 2.64, 4 Pt 2.71
Ni 0.0000 0.0000 0.0000  4 Mo 2.64, 4 Pt 2.64, 4 Ni 2.71
Ni 0.5000 0.5000 0.0000  4 Pt 2.64, 4 Mo 2.64, 4 Ni 2.71
Pt 0.5000 0.0000 0.5000  8 Ni 2.64, 4 Mo 2.71

=====

First-principles (PBE-GGA) data for a relaxed structure of Ni3MoPt3, as listed in Alexandria.

Calculated values
Total magnetization in μB/atom: 0.000
Volume in Å³/f.u.: 95.9
DOS(E_F) in states/eV/f.u.: 6.2
Relative energy among the computed polymorphs in eV per atom: 0.000
ΔE_f in eV/atom: -0.13

Unit cell a=4.3601 b=7.1260 c=7.1260 alpha=120.00 beta=90.00 gamma=90.00
Last column: nearest neighbours and their distance in Å.
Positions (direct):
Ni 0.7500 0.8944 0.3822  4 Ni 2.56-2.70, 5 Pt 2.59-2.76, 3 Mo 2.64-2.75
Ni 0.7500 0.4877 0.1056  4 Ni 2.56-2.70, 5 Pt 2.59-2.76, 3 Mo 2.64-2.75
Ni 0.2500 0.3822 0.4877  4 Ni 2.56-2.70, 5 Pt 2.59-2.76, 3 Mo 2.64-2.75
Ni 0.7500 0.6178 0.5123  4 Ni 2.56-2.70, 5 Pt 2.59-2.76, 3 Mo 2.64-2.75
Ni 0.2500 0.5123 0.8944  4 Ni 2.56-2.70, 5 Pt 2.59-2.76, 3 Mo 2.64-2.75
Ni 0.2500 0.1056 0.6178  4 Ni 2.56-2.70, 5 Pt 2.59-2.76, 3 Mo 2.64-2.75
Mo 0.2500 0.6667 0.3333  3 Pt 2.59, 9 Ni 2.64-2.75
Mo 0.7500 0.3333 0.6667  3 Pt 2.59, 9 Ni 2.64-2.75
Pt 0.7500 0.7446 0.9468  5 Ni 2.59-2.76, 1 Mo 2.59, 6 Pt 2.74-2.88
Pt 0.7500 0.2022 0.2554  5 Ni 2.59-2.76, 1 Mo 2.59, 6 Pt 2.74-2.88
Pt 0.2500 0.9468 0.2022  5 Ni 2.59-2.76, 1 Mo 2.59, 6 Pt 2.74-2.88
Pt 0.7500 0.0532 0.7978  5 Ni 2.59-2.76, 1 Mo 2.59, 6 Pt 2.74-2.88
Pt 0.2500 0.7978 0.7446  5 Ni 2.59-2.76, 1 Mo 2.59, 6 Pt 2.74-2.88
Pt 0.2500 0.2554 0.0532  5 Ni 2.59-2.76, 1 Mo 2.59, 6 Pt 2.74-2.88

=====

First-principles (PBE-GGA) data for a relaxed structure of NiMo2Pt, as listed in Alexandria.

Calculated values
Total magnetization in μB/atom: 0.000
Volume in Å³/f.u.: 57.9
DOS(E_F) in states/eV/f.u.: 5.3
Relative energy among the computed polymorphs in eV per atom: 0.052
ΔE_f in eV/atom: -0.14

Unit cell a=4.8695 b=4.8695 c=4.8695 alpha=134.46 beta=134.48 gamma=66.36
Last column: nearest neighbours and their distance in Å.
Positions (direct):
Ni 0.7500 0.2500 0.5000  4 Pt 2.66, 8 Mo 2.77-2.78
Mo 0.0000 0.0000 0.0000  4 Mo 2.66, 4 Ni 2.77-2.78, 4 Pt 2.78
Mo 0.5000 0.5000 0.0000  4 Mo 2.66, 4 Ni 2.77-2.78, 4 Pt 2.78
Pt 0.2500 0.7500 0.5000  4 Ni 2.66, 8 Mo 2.78

=====

First-principles (PBE-GGA) data for a relaxed structure of NiMo2Pt, as listed in Alexandria.

Calculated values
Total magnetization in μB/atom: 0.000
Volume in Å³/f.u.: 62.4
DOS(E_F) in states/eV/f.u.: 2.7
Relative energy among the computed polymorphs in eV per atom: 0.587
ΔE_f in eV/atom: 0.40

Unit cell a=7.0016 b=7.0016 c=5.5663 alpha=51.03 beta=51.03 gamma=90.00
Last column: nearest neighbours and their distance in Å.
Positions (direct):
Ni 0.5000 0.5000 0.0000  4 Mo 2.39, 2 Pt 2.54
Ni 0.2500 0.7500 0.5000  4 Mo 2.39, 2 Pt 2.54
Mo 0.5892 0.1250 0.2500  2 Ni 2.39, 2 Mo 2.59
Mo 0.1608 0.6250 0.2500  2 Ni 2.39, 2 Mo 2.59
Mo 0.3750 0.4108 0.7500  2 Ni 2.39, 2 Mo 2.59
Mo 0.8750 0.8392 0.7500  2 Ni 2.39, 2 Mo 2.59
Pt 0.0000 0.0000 0.0000  2 Ni 2.54, 4 Mo 2.73
Pt 0.7500 0.2500 0.5000  2 Ni 2.54, 4 Mo 2.73

=====

First-principles (PBE-GGA) data for a relaxed structure of Ni8Mo2Pt, as listed in Alexandria.

Calculated values
Total magnetization in μB/atom: 0.000
Volume in Å³/f.u.: 133.8
DOS(E_F) in states/eV/f.u.: 11.3
Relative energy among the computed polymorphs in eV per atom: 0.000
ΔE_f in eV/atom: -0.08

Unit cell a=3.6728 b=5.6848 c=6.8588 alpha=103.56 beta=105.53 gamma=90.00
Last column: nearest neighbours and their distance in Å.
Positions (direct):
Ni 0.4091 0.5397 0.8182  9 Ni 2.53-2.63, 2 Mo 2.57, 1 Pt 2.60
Ni 0.6840 0.9087 0.3679  3 Mo 2.51-2.60, 8 Ni 2.55-2.60, 1 Pt 2.61
Ni 0.7711 0.3645 0.5422  3 Mo 2.49-2.53, 9 Ni 2.54-2.61
Ni 0.0478 0.7264 0.0957  8 Ni 2.53-2.63, 2 Pt 2.58, 2 Mo 2.65-2.66
Ni 0.2289 0.6355 0.4578  3 Mo 2.49-2.53, 9 Ni 2.54-2.61
Ni 0.3160 0.0913 0.6321  3 Mo 2.51-2.60, 8 Ni 2.55-2.60, 1 Pt 2.61
Ni 0.5909 0.4603 0.1818  9 Ni 2.53-2.63, 2 Mo 2.57, 1 Pt 2.60
Ni 0.9522 0.2736 0.9043  8 Ni 2.53-2.63, 2 Pt 2.58, 2 Mo 2.65-2.66
Mo 0.8578 0.8048 0.7156  10 Ni 2.49-2.66, 2 Pt 2.67
Mo 0.1422 0.1952 0.2844  10 Ni 2.49-2.66, 2 Pt 2.67
Pt 0.5000 0.0000 0.0000  8 Ni 2.58-2.61, 4 Mo 2.67

=====

First-principles (PBE-GGA) data for a relaxed structure of Ni3Mo2Pt2, as listed in Alexandria.

Calculated values
Total magnetization in μB/atom: 0.000
Volume in Å³/f.u.: 96.2
DOS(E_F) in states/eV/f.u.: 7.1
Relative energy among the computed polymorphs in eV per atom: 0.012
ΔE_f in eV/atom: -0.11

Unit cell a=3.7503 b=4.7190 c=5.9883 alpha=97.78 beta=90.00 gamma=113.41
Last column: nearest neighbours and their distance in Å.
Positions (direct):
Ni 0.2919 0.5839 0.8603  4 Pt 2.57-2.70, 3 Mo 2.58-2.78, 5 Ni 2.65-2.78
Ni 0.0000 0.0000 0.0000  2 Mo 2.61, 4 Pt 2.63, 6 Ni 2.65-2.78
Ni 0.7081 0.4161 0.1397  4 Pt 2.57-2.70, 3 Mo 2.58-2.78, 5 Ni 2.65-2.78
Mo 0.1497 0.2995 0.4119  4 Ni 2.58-2.78, 5 Pt 2.65-2.81, 2 Mo 2.67
Mo 0.8503 0.7005 0.5881  4 Ni 2.58-2.78, 5 Pt 2.65-2.81, 2 Mo 2.67
Pt 0.5735 0.1470 0.7273  6 Ni 2.57-2.70, 5 Mo 2.65-2.81, 1 Pt 2.83
Pt 0.4265 0.8530 0.2727  6 Ni 2.57-2.70, 5 Mo 2.65-2.81, 1 Pt 2.83

=====

First-principles (PBE-GGA) data for a relaxed structure of NiMoPtRh, as listed in Alexandria.

Calculated values
Total magnetization in μB/atom: 0.000
Volume in Å³/f.u.: 56.3
DOS(E_F) in states/eV/f.u.: 3.6
ΔE_f in eV/atom: -0.24

Unit cell a=3.8422 b=3.8424 c=4.6841 alpha=114.23 beta=114.21 gamma=90.00
Last column: nearest neighbours and their distance in Å.
Positions (direct):
Ni 0.2500 0.7500 0.5000  4 Pt 2.71, 4 Rh 2.71, 4 Mo 2.72
Mo 0.7500 0.2500 0.5000  4 Rh 2.71, 4 Pt 2.71, 4 Ni 2.72
Pt 0.0000 0.0001 0.0000  4 Ni 2.71, 4 Mo 2.71, 4 Rh 2.72
Rh 0.5000 0.4999 0.0000  4 Ni 2.71, 4 Mo 2.71, 4 Pt 2.72

=====

First-principles (PBE-GGA) data for a relaxed structure of NiSbMoPt2, as listed in Alexandria.

Calculated values
Total magnetization in μB/atom: 0.171
Volume in Å³/f.u.: 95.5
DOS(E_F) in states/eV/f.u.: 4.6
Uncorrected formation energy in eV per atom: 0.7584

Unit cell a=4.6872 b=4.3455 c=4.6872 alpha=90.00 beta=90.00 gamma=90.00
Last column: nearest neighbours and their distance in Å.
Positions (direct):
Sb 0.5000 0.5000 0.5000  8 Pt 3.20, 4 Mo 3.31
Mo 0.0000 0.5000 0.0000  2 Ni 2.17
Pt 0.0000 0.0000 0.5000  2 Ni 2.34
Pt 0.5000 0.0000 0.0000  2 Ni 2.34
Ni 0.0000 0.0000 0.0000  2 Mo 2.17, 4 Pt 2.34

=====

First-principles (PBE-GGA) data for a relaxed structure of Sc2NiMoPt, as listed in Alexandria.

Calculated values
Total magnetization in μB/atom: 0.641
Volume in Å³/f.u.: 99.0
DOS(E_F) in states/eV/f.u.: 4.1
ΔE_f in eV/atom: 0.38

Unit cell a=4.5953 b=4.6861 c=4.5953 alpha=90.00 beta=90.00 gamma=90.00
Last column: nearest neighbours and their distance in Å.
Positions (direct):
Sc 0.0000 0.0000 0.5000  2 Ni 2.30
Sc 0.5000 0.0000 0.0000  2 Ni 2.30
Ni 0.0000 0.0000 0.0000  4 Sc 2.30, 2 Pt 2.34
Mo 0.5000 0.5000 0.5000  4 Pt 3.25, 8 Sc 3.28
Pt 0.0000 0.5000 0.0000  2 Ni 2.34